Crystalline CuBi5Ir3 at its relaxed geometry. Source: OQMD via LeMat-Bulk, functional GGA-PBE.

Unit cell a=5.7691 b=5.7691 c=8.1019 alpha=90.00 beta=90.00 gamma=120.00
Space group P6/mmm (No. 191)
One atom of each set of equivalent atoms:
Cu1 0.0000 0.0000 0.0000 [1 per cell]
Bi1 0.0000 0.0000 0.5000 [1 per cell]
Bi2 0.3333 0.6667 0.2166 [4 per cell]
Ir1 0.0000 0.5000 0.5000 [3 per cell]

## Properties
Energy (eV per atom): -5.303
ρ (g/cm³): 11.98